(1)
A plane-wave DFT calculation with SCAN was carried out for a crystal of HgIrSe relaxed with PBEsol.

POSCAR file:
```
HgIrSe
1.0
3.4445 0.0000 0.0000
-1.7223 2.9831 0.0000
0.0000 0.0000 5.8226
Hg Ir Se
1 1 1
Direct
0.0000 0.0000 0.9713 Hg
0.6667 0.3333 0.6278 Ir
0.3333 0.6667 0.4009 Se
```

* N(E_F): 1.70 states/eV per cell
* crystal system: trigonal
* SG: No. 156
* raw total energy: -52.973 eV/atom
* ρ: 13.09 Mg/m³


(2)
A plane-wave DFT calculation with SCAN was carried out for a crystal of Hg3IrSe relaxed with PBEsol.

POSCAR file:
```
Hg3IrSe
1.0
5.1287 0.0000 0.0000
0.0000 5.1287 0.0000
0.0000 0.0000 5.1287
Ir Hg Se
1 3 1
Direct
0.0000 0.0000 0.0000 Ir
0.0000 0.5000 0.0000 Hg
0.0000 0.0000 0.5000 Hg
0.5000 0.0000 0.0000 Hg
0.5000 0.5000 0.5000 Se
```

* N(E_F): 5.92 states/eV per cell
* crystal system: cubic
* SG: No. 221
* raw total energy: -58.482 eV/atom
* ρ: 10.74 Mg/m³


(3)
A plane-wave DFT calculation with SCAN was carried out for a crystal of HgIr2Se relaxed with PBEsol.

POSCAR file:
```
HgIr2Se
1.0
4.2237 0.0000 0.0000
-2.1118 4.2000 -0.0011
0.0000 2.1246 3.6504
Hg Ir Se
1 2 1
Direct
0.0000 0.0000 0.0000 Hg
0.2500 0.5000 0.2500 Ir
0.7500 0.5000 0.7500 Ir
0.5000 0.0000 0.5000 Se
```

* N(E_F): 1.98 states/eV per cell
* crystal system: tetragonal
* SG: No. 139
* raw total energy: -56.761 eV/atom
* ΔE to the lowest computed polymorph: 0.4977 eV per atom
* ρ: 17.02 Mg/m³


(4)
A plane-wave DFT calculation with SCAN was carried out for a crystal of Si2HgIr relaxed with PBEsol.

POSCAR file:
```
Si2HgIr
1.0
-0.0570 -2.4149 1.4847
-1.2404 -1.3868 -2.3033
7.1549 -1.8442 -2.7430
Hg Ir Si
1 1 2
Direct
0.0000 0.5000 0.5000 Hg
0.5000 0.5000 0.0000 Ir
0.0011 0.0000 0.1964 Si
0.9989 0.0000 0.8036 Si
```

* N(E_F): 2.03 states/eV per cell
* crystal system: monoclinic
* SG: No. 10
* raw total energy: -39.806 eV/atom
* ρ: 11.27 Mg/m³


(5)
A plane-wave DFT calculation with SCAN was carried out for a crystal of Si2HgIr relaxed with PBEsol.

POSCAR file:
```
Si2HgIr
1.0
-0.7359 -0.5073 -2.9553
3.9199 -2.3159 -0.5786
-3.1332 -3.0872 1.3102
Hg Ir Si
1 1 2
Direct
0.5000 0.0000 0.0000 Hg
0.5000 0.5000 0.5000 Ir
0.0000 0.5000 0.0000 Si
0.0000 0.0000 0.5000 Si
```

* N(E_F): 1.78 states/eV per cell
* crystal system: orthorhombic
* SG: No. 65
* raw total energy: -39.272 eV/atom
* ρ: 11.94 Mg/m³


(6)
A plane-wave DFT calculation with SCAN was carried out for a crystal of Si2HgIr relaxed with PBEsol.

POSCAR file:
```
Si2HgIr
1.0
-1.6306 -0.6807 2.1210
3.1869 -3.2170 1.4176
1.5872 5.6113 1.2245
Hg Ir Si
1 1 2
Direct
0.5000 0.0000 0.0000 Hg
0.0000 0.5000 0.0000 Ir
0.6972 0.6972 0.3943 Si
0.3028 0.3028 0.6057 Si
```

* N(E_F): 1.91 states/eV per cell
* crystal system: orthorhombic
* SG: No. 71
* raw total energy: -39.507 eV/atom
* ρ: 10.76 Mg/m³


(7)
A plane-wave DFT calculation with SCAN was carried out for a crystal of SnHg3Ir relaxed with PBEsol.

POSCAR file:
```
SnHg3Ir
1.0
5.3017 0.0000 0.0000
0.0000 5.3017 0.0000
0.0000 0.0000 5.3017
Ir Hg Sn
1 3 1
Direct
0.5000 0.5000 0.5000 Ir
0.0000 0.5000 0.0000 Hg
0.0000 0.0000 0.5000 Hg
0.5000 0.0000 0.0000 Hg
0.0000 0.0000 0.0000 Sn
```

* formation energy from the elements: 1297 meV/atom
* N(E_F): 1.69 states/eV per cell
* crystal system: cubic
* SG: No. 221
* raw total energy: -61.007 eV/atom
* ρ: 10.17 Mg/m³


(8)
A plane-wave DFT calculation with SCAN was carried out for a crystal of TaHg2Ir relaxed with PBEsol.

POSCAR file:
```
TaHg2Ir
1.0
-1.6253 -2.0635 -3.3882
4.0379 -1.8998 1.9323
-3.6360 -0.6897 2.1641
Hg Ir Ta
2 1 1
Direct
0.0000 0.0000 0.0000 Hg
0.7500 0.5000 0.2500 Hg
0.5000 0.0000 0.5000 Ir
0.2500 0.5000 0.7500 Ta
```

* formation energy from the elements: 320 meV/atom
* N(E_F): 1.44 states/eV per cell
* crystal system: tetragonal
* SG: No. 119
* raw total energy: -68.183 eV/atom
* ρ: 18.40 Mg/m³


(9)
A plane-wave DFT calculation with SCAN was carried out for a crystal of Ta2HgIr relaxed with PBEsol.

POSCAR file:
```
Ta2HgIr
1.0
3.0590 0.0000 0.0000
0.0000 3.6791 0.0000
0.0000 0.0000 6.0946
Hg Ir Ta
1 1 2
Direct
0.0000 0.0000 0.5029 Hg
0.5000 0.5000 0.7719 Ir
0.0000 0.0000 0.9814 Ta
0.5000 0.5000 0.2437 Ta
```

* formation energy from the elements: -63 meV/atom
* N(E_F): 2.44 states/eV per cell
* crystal system: orthorhombic
* SG: No. 25
* raw total energy: -68.171 eV/atom
* ρ: 18.27 Mg/m³


(10)
A plane-wave DFT calculation with SCAN was carried out for a crystal of Ta2HgIr relaxed with PBEsol.

POSCAR file:
```
Ta2HgIr
1.0
2.9020 0.0000 0.0000
1.4510 2.5132 0.0000
1.4510 0.8377 9.5282
Hg Ir Ta
1 1 2
Direct
0.5026 0.5026 0.4923 Hg
0.2547 0.2547 0.2358 Ir
0.9947 0.9947 0.0158 Ta
0.7479 0.7479 0.7562 Ta
```

* formation energy from the elements: 129 meV/atom
* N(E_F): 3.49 states/eV per cell
* crystal system: trigonal
* SG: No. 160
* raw total energy: -67.979 eV/atom
* ρ: 18.03 Mg/m³


(11)
A plane-wave DFT calculation with SCAN was carried out for a crystal of TaHgIr2 relaxed with PBEsol.

POSCAR file:
```
TaHgIr2
1.0
-1.6061 -1.4485 1.8318
-2.1863 -2.2394 -3.6877
4.4964 -2.2445 -0.0252
Hg Ir Ta
1 2 1
Direct
0.2597 0.7755 0.5194 Hg
0.0147 0.9879 0.0294 Ir
0.7368 0.2722 0.4735 Ir
0.4888 0.4643 0.9776 Ta
```

* formation energy from the elements: 25 meV/atom
* N(E_F): 2.84 states/eV per cell
* crystal system: monoclinic
* SG: No. 8
* raw total energy: -69.212 eV/atom
* ρ: 19.65 Mg/m³


(12)
A plane-wave DFT calculation with SCAN was carried out for a crystal of TaHgIr2 relaxed with PBEsol.

POSCAR file:
```
TaHgIr2
1.0
3.7460 0.0000 0.0000
0.0000 4.1366 0.0000
0.0000 0.0000 4.1366
Hg Ir Ta
1 2 1
Direct
0.5000 0.0000 0.0000 Hg
0.0000 0.0000 0.5000 Ir
0.0000 0.5000 0.0000 Ir
0.5000 0.5000 0.5000 Ta
```

* formation energy from the elements: 21 meV/atom
* N(E_F): 3.04 states/eV per cell
* crystal system: tetragonal
* SG: No. 123
* raw total energy: -69.216 eV/atom
* ρ: 19.84 Mg/m³


(13)
A plane-wave DFT calculation with SCAN was carried out for a crystal of TaHgIr2 relaxed with PBEsol.

POSCAR file:
```
TaHgIr2
1.0
-2.2270 -2.9018 -1.2751
2.9777 -2.4528 0.3738
-1.5661 1.8396 4.4371
Hg Ir Ta
1 2 1
Direct
0.7501 0.2500 0.5001 Hg
0.0000 0.0000 0.0000 Ir
0.2498 0.7499 0.4997 Ir
0.5001 0.5001 0.0002 Ta
```

* formation energy from the elements: -12 meV/atom
* N(E_F): 1.96 states/eV per cell
* crystal system: tetragonal
* SG: No. 119
* raw total energy: -69.249 eV/atom
* ρ: 19.96 Mg/m³


(14)
A plane-wave DFT calculation with SCAN was carried out for a crystal of Tc2HgIr relaxed with PBEsol.

POSCAR file:
```
Tc2HgIr
1.0
-2.1822 -0.8648 1.4806
2.8793 -2.3555 2.8678
0.0233 5.4939 0.6422
Hg Ir Tc
1 1 2
Direct
0.4996 0.4996 0.9992 Hg
0.2735 0.7735 0.5469 Ir
0.0047 0.0047 0.0095 Tc
0.7222 0.2222 0.4444 Tc
```

* formation energy from the elements: 463 meV/atom
* N(E_F): 2.35 states/eV per cell
* crystal system: orthorhombic
* SG: No. 44
* raw total energy: -51.883 eV/atom
* ρ: 15.59 Mg/m³


(15)
A plane-wave DFT calculation with SCAN was carried out for a crystal of TcHgIr2 relaxed with PBEsol.

POSCAR file:
```
TcHgIr2
1.0
-1.2773 0.7605 4.1814
2.6999 -1.0322 3.3673
1.9352 3.2216 2.3602
Hg Ir Tc
1 2 1
Direct
0.5000 0.5000 0.5000 Hg
0.0000 0.0000 0.0000 Ir
0.2500 0.2500 0.2500 Ir
0.7500 0.7500 0.7500 Tc
```

* formation energy from the elements: 677 meV/atom
* N(E_F): 3.13 states/eV per cell
* crystal system: cubic
* SG: No. 216
* raw total energy: -60.679 eV/atom
* ρ: 18.35 Mg/m³


(16)
A plane-wave DFT calculation with SCAN was carried out for a crystal of TcHg2Ir relaxed with PBEsol.

POSCAR file:
```
TcHg2Ir
1.0
-2.3081 0.3690 -3.3161
-2.8825 -2.2513 1.7559
-1.7059 3.4059 1.5663
Hg Ir Tc
2 1 1
Direct
0.0000 0.5000 0.0000 Hg
0.5000 0.0000 0.0000 Hg
0.5000 0.5000 0.5000 Ir
0.0000 0.0000 0.5000 Tc
```

* formation energy from the elements: 721 meV/atom
* N(E_F): 2.62 states/eV per cell
* crystal system: tetragonal
* SG: No. 123
* raw total energy: -59.902 eV/atom
* ρ: 16.93 Mg/m³


(17)
A plane-wave DFT calculation with SCAN was carried out for a crystal of Tc2HgIr relaxed with PBEsol.

POSCAR file:
```
Tc2HgIr
1.0
-2.3438 0.5335 1.4138
0.9925 -1.4239 2.1827
3.2206 6.6072 2.8459
Hg Ir Tc
1 1 2
Direct
0.0000 0.0000 0.5006 Hg
0.5000 0.5000 0.7747 Ir
0.0000 0.0000 0.0000 Tc
0.5000 0.5000 0.2246 Tc
```

* formation energy from the elements: 229 meV/atom
* N(E_F): 3.83 states/eV per cell
* crystal system: tetragonal
* SG: No. 99
* raw total energy: -52.117 eV/atom
* ρ: 15.95 Mg/m³


(18)
A plane-wave DFT calculation with SCAN was carried out for a crystal of TcHgIr relaxed with PBEsol.

POSCAR file:
```
TcHgIr
1.0
2.8076 0.0000 0.0000
0.0000 2.8076 0.0000
-1.4038 -1.4038 6.0349
Hg Ir Tc
1 1 1
Direct
0.9990 0.9990 0.9979 Hg
0.6827 0.6827 0.3654 Ir
0.3183 0.3183 0.6367 Tc
```

* formation energy from the elements: 168 meV/atom
* N(E_F): 2.10 states/eV per cell
* crystal system: tetragonal
* SG: No. 107
* raw total energy: -57.940 eV/atom
* ρ: 17.13 Mg/m³


(19)
A plane-wave DFT calculation with SCAN was carried out for a crystal of Tc2HgIr relaxed with PBEsol.

POSCAR file:
```
Tc2HgIr
1.0
-1.0886 1.1528 -2.2620
0.9041 -0.7452 -2.5016
-6.4369 -6.5168 -1.9100
Hg Ir Tc
1 1 2
Direct
0.5000 0.5000 0.5000 Hg
0.0000 0.0000 0.0000 Ir
0.2557 0.2557 0.2328 Tc
0.7443 0.7443 0.7672 Tc
```

* formation energy from the elements: 270 meV/atom
* N(E_F): 3.26 states/eV per cell
* crystal system: trigonal
* SG: No. 166
* raw total energy: -52.076 eV/atom
* ρ: 16.05 Mg/m³


(20)
A plane-wave DFT calculation with SCAN was carried out for a crystal of Tc2HgIr relaxed with PBEsol.

POSCAR file:
```
Tc2HgIr
1.0
4.4411 0.0000 0.0000
2.2205 3.8461 0.0000
2.2205 1.2820 3.6261
Hg Ir Tc
1 1 2
Direct
0.5000 0.5000 0.5000 Hg
0.7500 0.7500 0.7500 Ir
0.0000 0.0000 0.0000 Tc
0.2500 0.2500 0.2500 Tc
```

* formation energy from the elements: 573 meV/atom
* N(E_F): 3.07 states/eV per cell
* crystal system: cubic
* SG: No. 216
* raw total energy: -51.773 eV/atom
* ρ: 15.79 Mg/m³


(21)
A plane-wave DFT calculation with SCAN was carried out for a crystal of HgTe2Ir relaxed with PBEsol.

POSCAR file:
```
HgTe2Ir
1.0
-1.7139 -2.6659 -2.3790
1.7377 -3.5069 -0.6215
-3.5789 -4.8574 4.7044
Ir Te Hg
1 2 1
Direct
0.0000 0.0000 0.5000 Ir
0.2715 0.2715 0.6848 Te
0.7285 0.7285 0.3152 Te
0.5000 0.5000 0.0000 Hg
```

* N(E_F): 2.13 states/eV per cell
* crystal system: monoclinic
* SG: No. 12
* raw total energy: -53.680 eV/atom
* ρ: 10.84 Mg/m³


(22)
A plane-wave DFT calculation with SCAN was carried out for a crystal of HgTe3Ir relaxed with PBEsol.

POSCAR file:
```
HgTe3Ir
1.0
5.3608 0.0000 0.0000
0.0000 5.3608 0.0000
0.0000 0.0000 5.3608
Ir Te Hg
1 3 1
Direct
0.5000 0.5000 0.5000 Ir
0.0000 0.5000 0.0000 Te
0.0000 0.0000 0.5000 Te
0.5000 0.0000 0.0000 Te
0.0000 0.0000 0.0000 Hg
```

* N(E_F): 5.76 states/eV per cell
* crystal system: cubic
* SG: No. 221
* raw total energy: -48.514 eV/atom
* ρ: 8.36 Mg/m³


(23)
A plane-wave DFT calculation with SCAN was carried out for a crystal of HgTe2Ir relaxed with PBEsol.

POSCAR file:
```
HgTe2Ir
1.0
-0.7661 -1.8139 3.7747
4.2676 0.8745 1.2864
-1.2857 3.9006 1.6135
Hg Ir Te
1 1 2
Direct
0.5000 0.5000 0.0000 Hg
0.0000 0.5000 0.5000 Ir
0.0000 0.0000 0.0000 Te
0.5000 0.0000 0.5000 Te
```

* N(E_F): 2.16 states/eV per cell
* crystal system: orthorhombic
* SG: No. 47
* raw total energy: -52.667 eV/atom
* ρ: 12.61 Mg/m³


(24)
A plane-wave DFT calculation with SCAN was carried out for a crystal of HgTe2Ir relaxed with PBEsol.

POSCAR file:
```
HgTe2Ir
1.0
4.9237 0.0023 0.0038
-1.7697 4.5947 -0.0038
-1.7697 -2.1663 4.0520
Hg Ir Te
1 1 2
Direct
0.0000 0.5000 0.5000 Hg
0.0000 0.0000 0.0000 Ir
0.5000 0.5000 0.0000 Te
0.5000 0.0000 0.5000 Te
```

* N(E_F): 2.44 states/eV per cell
* crystal system: tetragonal
* SG: No. 139
* raw total energy: -53.037 eV/atom
* ρ: 11.74 Mg/m³


(25)
A plane-wave DFT calculation with SCAN was carried out for a crystal of HgTe2Ir relaxed with PBEsol.

POSCAR file:
```
HgTe2Ir
1.0
-1.1111 -2.5943 1.1992
0.7779 -2.7064 -1.2136
9.0425 -2.3619 7.1891
Ir Te Hg
1 2 1
Direct
0.0000 0.0000 0.0000 Ir
0.9274 0.9274 0.2177 Te
0.0726 0.0726 0.7823 Te
0.5000 0.5000 0.5000 Hg
```

* N(E_F): 2.71 states/eV per cell
* crystal system: trigonal
* SG: No. 166
* raw total energy: -53.084 eV/atom
* ρ: 11.34 Mg/m³


(26)
A plane-wave DFT calculation with SCAN was carried out for a crystal of Hg2TeIr relaxed with PBEsol.

POSCAR file:
```
Hg2TeIr
1.0
-3.5846 -0.0973 -0.8152
-1.6227 -3.2074 -0.7763
-3.4654 -2.0960 7.1936
Hg Ir Te
2 1 1
Direct
0.0069 0.0069 0.9792 Hg
0.7607 0.7607 0.7179 Hg
0.5038 0.5038 0.4887 Ir
0.2286 0.2286 0.3143 Te
```

* N(E_F): 1.39 states/eV per cell
* crystal system: trigonal
* SG: No. 160
* raw total energy: -61.126 eV/atom
* ρ: 12.81 Mg/m³


(27)
A plane-wave DFT calculation with SCAN was carried out for a crystal of Hg2TeIr relaxed with PBEsol.

POSCAR file:
```
Hg2TeIr
1.0
-1.8613 -2.2618 0.7101
0.8641 -2.0959 1.9862
-4.4431 4.4458 8.9111
Hg Ir Te
2 1 1
Direct
0.2359 0.2359 0.2923 Hg
0.7641 0.7641 0.7077 Hg
0.5000 0.5000 0.5000 Ir
0.0000 0.0000 0.0000 Te
```

* N(E_F): 2.05 states/eV per cell
* crystal system: trigonal
* SG: No. 166
* raw total energy: -60.558 eV/atom
* ρ: 14.14 Mg/m³


(28)
A plane-wave DFT calculation with SCAN was carried out for a crystal of Tl3HgIr relaxed with PBEsol.

POSCAR file:
```
Tl3HgIr
1.0
-4.3286 0.3245 -2.9207
-1.9592 -4.1942 2.4377
-2.1902 3.1106 3.5916
Tl Ir Hg
3 1 1
Direct
0.0000 0.5000 0.0000 Tl
0.0000 0.0000 0.5000 Tl
0.5000 0.0000 0.0000 Tl
0.0000 0.0000 0.0000 Ir
0.5000 0.5000 0.5000 Hg
```

* formation energy from the elements: -3 meV/atom
* N(E_F): 1.22 states/eV per cell
* crystal system: cubic
* SG: No. 221
* raw total energy: -71.271 eV/atom
* ρ: 11.66 Mg/m³


(29)
A plane-wave DFT calculation with SCAN was carried out for a crystal of TlHgIr2 relaxed with PBEsol.

POSCAR file:
```
TlHgIr2
1.0
-1.3102 -2.5130 0.5294
1.2725 -1.9620 1.6861
-4.5658 2.6120 8.9498
Hg Ir Tl
1 2 1
Direct
0.2622 0.2622 0.2135 Hg
0.0074 0.0074 0.9779 Ir
0.7402 0.7402 0.7793 Ir
0.4902 0.4902 0.5294 Tl
```

* formation energy from the elements: 573 meV/atom
* N(E_F): 2.97 states/eV per cell
* crystal system: trigonal
* SG: No. 160
* raw total energy: -70.107 eV/atom
* ΔE to the lowest computed polymorph: 0.0000 eV per atom
* ρ: 17.77 Mg/m³


(30)
A plane-wave DFT calculation with SCAN was carried out for a crystal of TlHgIr2 relaxed with PBEsol.

POSCAR file:
```
TlHgIr2
1.0
3.0005 0.0000 0.0000
-1.5002 4.5370 -0.0223
0.0000 -1.0227 5.0775
Hg Ir Tl
1 2 1
Direct
0.0000 0.0000 0.5000 Hg
0.7526 0.5051 0.7412 Ir
0.2474 0.4949 0.2588 Ir
0.5000 0.0000 0.0000 Tl
```

* formation energy from the elements: 698 meV/atom
* N(E_F): 2.42 states/eV per cell
* crystal system: monoclinic
* SG: No. 12
* raw total energy: -69.983 eV/atom
* ΔE to the lowest computed polymorph: 0.1245 eV per atom
* ρ: 18.98 Mg/m³


(31)
A plane-wave DFT calculation with SCAN was carried out for a crystal of TlHgIr2 relaxed with PBEsol.

POSCAR file:
```
TlHgIr2
1.0
-0.1292 0.9560 2.7079
-4.6534 0.4950 -0.3968
1.7042 -5.7804 0.5962
Hg Ir Tl
1 2 1
Direct
0.7301 0.2301 0.4602 Hg
0.9707 0.9707 0.9415 Ir
0.2716 0.7716 0.5431 Ir
0.5276 0.5276 0.0552 Tl
```

* formation energy from the elements: 612 meV/atom
* N(E_F): 2.78 states/eV per cell
* crystal system: orthorhombic
* SG: No. 44
* raw total energy: -70.069 eV/atom
* ΔE to the lowest computed polymorph: 0.0384 eV per atom
* ρ: 18.00 Mg/m³